(1)
# PBE Hf2TaPb, optimized geometry
data_Hf2TaPb
_symmetry_space_group_name_H-M 'I -4 2 d'
_symmetry_Int_Tables_number 122
_symmetry_space_group_name_Hall 'I -4 2bw'
_cell_length_a 7.966
_cell_length_b 7.966
_cell_length_c 5.874
_cell_angle_alpha 90.00
_cell_angle_beta 90.00
_cell_angle_gamma 90.00
loop_
_atom_site_label
_atom_site_fract_x
_atom_site_fract_y
_atom_site_fract_z
Hf1 0.237 0.750 0.125
Ta1 0.000 0.000 0.000
Pb1 0.000 0.000 0.500
# * energy: -32.7 eV per formula unit
# * mass density: 13.28 Mg/m³
# * DFT formation energy: 2.779 eV/f.u.
# * V: 373 Å³/cell

(2)
# PBE Hf2TaPb2, optimized geometry
data_Hf2TaPb2
_symmetry_space_group_name_H-M 'P 4/m b m'
_symmetry_Int_Tables_number 127
_symmetry_space_group_name_Hall '-P 4 2ab'
_cell_length_a 7.824
_cell_length_b 7.824
_cell_length_c 3.843
_cell_angle_alpha 90.00
_cell_angle_beta 90.00
_cell_angle_gamma 90.00
loop_
_atom_site_label
_atom_site_fract_x
_atom_site_fract_y
_atom_site_fract_z
Hf1 0.137 0.363 0.000
Ta1 0.000 0.000 0.000
Pb1 0.168 0.668 0.500
# * energy: -36.3 eV per formula unit
# * mass density: 13.44 Mg/m³
# * energy above the most stable polymorph in this dataset: 310 meV/atom
# * DFT formation energy: 2.893 eV/f.u.
# * V: 235 Å³/cell

(3)
# PBE Hf7TaPb2, optimized geometry
data_Hf7TaPb2
_symmetry_space_group_name_H-M 'F m -3 m'
_symmetry_Int_Tables_number 225
_symmetry_space_group_name_Hall '-F 4 2 3'
_cell_length_a 10.322
_cell_length_b 10.322
_cell_length_c 10.322
_cell_angle_alpha 90.00
_cell_angle_beta 90.00
_cell_angle_gamma 90.00
loop_
_atom_site_label
_atom_site_fract_x
_atom_site_fract_y
_atom_site_fract_z
Hf1 0.000 0.000 0.000
Hf2 0.000 0.000 0.252
Ta1 0.000 0.000 0.500
Pb1 0.250 0.250 0.250
# * energy: -78.3 eV per formula unit
# * mass density: 11.14 Mg/m³
# * DFT formation energy: 10.657 eV/f.u.
# * V: 1100 Å³/cell

(4)
# PBE HfTaPb2, optimized geometry
data_HfTaPb2
_symmetry_space_group_name_H-M 'I -4 2 d'
_symmetry_Int_Tables_number 122
_symmetry_space_group_name_Hall 'I -4 2bw'
_cell_length_a 7.958
_cell_length_b 7.958
_cell_length_c 6.197
_cell_angle_alpha 90.00
_cell_angle_beta 90.00
_cell_angle_gamma 90.00
loop_
_atom_site_label
_atom_site_fract_x
_atom_site_fract_y
_atom_site_fract_z
Hf1 0.000 0.000 0.000
Ta1 0.000 0.000 0.500
Pb1 0.242 0.250 0.625
# * energy: -26.5 eV per formula unit
# * mass density: 13.10 Mg/m³
# * energy above the most stable polymorph in this dataset: 181 meV/atom
# * DFT formation energy: 2.710 eV/f.u.
# * V: 392 Å³/cell

(5)
# PBE Hf2TaPb, optimized geometry
data_Hf2TaPb
_symmetry_space_group_name_H-M 'R -3 m'
_symmetry_Int_Tables_number 166
_symmetry_space_group_name_Hall '-R 3 2"'
_cell_length_a 3.2472
_cell_length_b 3.2472
_cell_length_c 29.4801
_cell_angle_alpha 90.00
_cell_angle_beta 90.00
_cell_angle_gamma 120.00
loop_
_atom_site_label
_atom_site_fract_x
_atom_site_fract_y
_atom_site_fract_z
Hf1 0.0000 0.0000 0.2449
Ta1 0.0000 0.0000 0.5000
Pb1 0.0000 0.0000 0.0000
# * energy: -34.9 eV per formula unit
# * mass density: 13.79 Mg/m³
# * DFT formation energy: 0.592 eV/f.u.
# * V: 269 Å³/cell

(6)
# PBE Hf2TaPb, optimized geometry
data_Hf2TaPb
_symmetry_space_group_name_H-M 'R 3 m'
_symmetry_Int_Tables_number 160
_symmetry_space_group_name_Hall 'R 3 -2"'
_cell_length_a 3.2297
_cell_length_b 3.2297
_cell_length_c 29.7626
_cell_angle_alpha 90.00
_cell_angle_beta 90.00
_cell_angle_gamma 120.00
loop_
_atom_site_label
_atom_site_fract_x
_atom_site_fract_y
_atom_site_fract_z
Hf1 0.0000 0.0000 0.0000
Hf2 0.0000 0.0000 0.1560
Ta1 0.0000 0.0000 0.4114
Pb1 0.0000 0.0000 0.5781
# * energy: -34.8 eV per formula unit
# * mass density: 13.81 Mg/m³
# * DFT formation energy: 0.687 eV/f.u.
# * V: 269 Å³/cell

(7)
# PBE Hf2TaPb2, optimized geometry
data_Hf2TaPb2
_symmetry_space_group_name_H-M 'I 4/m m m'
_symmetry_Int_Tables_number 139
_symmetry_space_group_name_Hall '-I 4 2'
_cell_length_a 4.029
_cell_length_b 4.029
_cell_length_c 15.636
_cell_angle_alpha 90.00
_cell_angle_beta 90.00
_cell_angle_gamma 90.00
loop_
_atom_site_label
_atom_site_fract_x
_atom_site_fract_y
_atom_site_fract_z
Hf1 0.000 0.000 0.090
Ta1 0.000 0.000 0.500
Pb1 0.000 0.500 0.250
# * energy: -35.5 eV per formula unit
# * mass density: 12.46 Mg/m³
# * energy above the most stable polymorph in this dataset: 469 meV/atom
# * DFT formation energy: 3.690 eV/f.u.
# * V: 254 Å³/cell

(8)
# PBE Hf2TaPb2, optimized geometry
data_Hf2TaPb2
_symmetry_space_group_name_H-M 'P 4/m b m'
_symmetry_Int_Tables_number 127
_symmetry_space_group_name_Hall '-P 4 2ab'
_cell_length_a 7.562
_cell_length_b 7.562
_cell_length_c 3.921
_cell_angle_alpha 90.00
_cell_angle_beta 90.00
_cell_angle_gamma 90.00
loop_
_atom_site_label
_atom_site_fract_x
_atom_site_fract_y
_atom_site_fract_z
Hf1 0.163 0.337 0.000
Ta1 0.000 0.000 0.500
Pb1 0.142 0.642 0.500
# * energy: -37.8 eV per formula unit
# * mass density: 14.10 Mg/m³
# * energy above the most stable polymorph in this dataset: 0 meV/atom
# * DFT formation energy: 1.343 eV/f.u.
# * V: 224 Å³/cell

(9)
# PBE Hf2TaPb, optimized geometry
data_Hf2TaPb
_symmetry_space_group_name_H-M 'P 4/m m m'
_symmetry_Int_Tables_number 123
_symmetry_space_group_name_Hall '-P 4 2'
_cell_length_a 4.703
_cell_length_b 4.703
_cell_length_c 3.825
_cell_angle_alpha 90.00
_cell_angle_beta 90.00
_cell_angle_gamma 90.00
loop_
_atom_site_label
_atom_site_fract_x
_atom_site_fract_y
_atom_site_fract_z
Hf1 0.000 0.500 0.000
Ta1 0.000 0.000 0.500
Pb1 0.500 0.500 0.500
# * energy: -35.2 eV per formula unit
# * mass density: 14.63 Mg/m³
# * DFT formation energy: 0.299 eV/f.u.
# * V: 85 Å³/cell

(10)
# PBE Tb3HfPb5, optimized geometry
data_Tb3HfPb5
_symmetry_space_group_name_H-M 'P 63/m c m'
_symmetry_Int_Tables_number 193
_symmetry_space_group_name_Hall '-P 6c 2'
_cell_length_a 9.4879
_cell_length_b 9.4879
_cell_length_c 6.3335
_cell_angle_alpha 90.00
_cell_angle_beta 90.00
_cell_angle_gamma 120.00
loop_
_atom_site_label
_atom_site_fract_x
_atom_site_fract_y
_atom_site_fract_z
Tb1 0.0000 0.3836 0.2500
Hf1 0.0000 0.0000 0.0000
Pb1 0.0000 0.2751 0.7500
Pb2 0.3333 0.6667 0.0000
# * energy: -45.6 eV per formula unit
# * mass density: 11.38 Mg/m³
# * DFT formation energy: -3.225 eV/f.u.
# * V: 494 Å³/cell

(11)
# PBE Tb2HfPb, optimized geometry
data_Tb2HfPb
_symmetry_space_group_name_H-M 'R -3 m'
_symmetry_Int_Tables_number 166
_symmetry_space_group_name_Hall '-R 3 2"'
_cell_length_a 3.4183
_cell_length_b 3.4183
_cell_length_c 35.1073
_cell_angle_alpha 90.00
_cell_angle_beta 90.00
_cell_angle_gamma 120.00
loop_
_atom_site_label
_atom_site_fract_x
_atom_site_fract_y
_atom_site_fract_z
Tb1 0.0000 0.0000 0.0922
Hf1 0.0000 0.0000 0.5000
Pb1 0.0000 0.0000 0.0000
# * energy: -22.5 eV per formula unit
# * mass density: 9.87 Mg/m³
# * DFT formation energy: 0.471 eV/f.u.
# * V: 355 Å³/cell

(12)
# PBE TbHfPb, optimized geometry
data_TbHfPb
_symmetry_space_group_name_H-M 'P 4/n m m'
_symmetry_Int_Tables_number 129
_cell_length_a 4.399
_cell_length_b 4.399
_cell_length_c 8.314
_cell_angle_alpha 90.00
_cell_angle_beta 90.00
_cell_angle_gamma 90.00
loop_
_symmetry_equiv_pos_as_xyz
'x,y,z'
'-x,-y,-z'
'-y+1/2,x,z'
'y+1/2,-x,-z'
'-x+1/2,-y+1/2,z'
'x+1/2,y+1/2,-z'
'y,-x+1/2,z'
'-y,x+1/2,-z'
'x+1/2,-y,-z'
'-x+1/2,y,z'
'-y,-x,-z'
'y,x,z'
'-x,y+1/2,-z'
'x,-y+1/2,z'
'y+1/2,x+1/2,-z'
'-y+1/2,-x+1/2,z'
loop_
_atom_site_label
_atom_site_fract_x
_atom_site_fract_y
_atom_site_fract_z
Tb1 0.250 0.250 0.167
Hf1 0.250 0.750 0.500
Pb1 0.250 0.250 0.772
# * energy: -19.2 eV per formula unit
# * mass density: 11.24 Mg/m³
# * DFT formation energy: -0.956 eV/f.u.
# * V: 161 Å³/cell